(1)
# Pm4Nd9In11 | the Alexandria database | GGA-PBE | optimized geometry
data_Pm4Nd9In11
_chemical_formula_sum 'Pm8 Nd18 In22'
_cell_length_a 18.217
_cell_length_b 21.551
_cell_length_c 3.582
_cell_angle_alpha 90.00
_cell_angle_beta 90.00
_cell_angle_gamma 90.00
_space_group_name_H-M_alt 'C m m m'
_space_group_IT_number 65
_space_group_name_Hall '-C 2 2'
loop_
_atom_site_label
_atom_site_type_symbol
_atom_site_fract_x
_atom_site_fract_y
_atom_site_fract_z
_atom_site_occupancy
Pm1 Pm 0.154 0.084 0.000 1
Nd1 Nd 0.000 0.000 0.000 1
Nd2 Nd 0.117 0.240 0.000 1
Nd3 Nd 0.119 0.411 0.000 1
In1 In 0.000 0.137 0.500 1
In2 In 0.000 0.329 0.500 1
In3 In 0.000 0.500 0.500 1
In4 In 0.233 0.500 0.500 1
In5 In 0.242 0.323 0.500 1
# Formation energy   -414 meV per atom
# Raw total energy   -203.96 eV per cell

***

(2)
# PmNdIn | the Alexandria database | GGA-PBE | optimized geometry
data_PmNdIn
_chemical_formula_sum 'Pm2 Nd2 In2'
_cell_length_a 3.649
_cell_length_b 3.649
_cell_length_c 14.159
_cell_angle_alpha 90.00
_cell_angle_beta 90.00
_cell_angle_gamma 90.00
_space_group_name_H-M_alt 'I 4 m m'
_space_group_IT_number 107
_space_group_name_Hall 'I 4 -2'
loop_
_atom_site_label
_atom_site_type_symbol
_atom_site_fract_x
_atom_site_fract_y
_atom_site_fract_z
_atom_site_occupancy
Pm1 Pm 0.000 0.000 0.000 1
Nd1 Nd 0.000 0.000 0.694 1
In1 In 0.000 0.000 0.349 1
# Energy above the most stable polymorph in this dataset   0.0 meV/atom
# Formation energy   -289 meV per atom
# Raw total energy   -26.25 eV per cell

***

(3)
# Pm4NdIn | the Alexandria database | GGA-PBE | optimized geometry
data_Pm4NdIn
_chemical_formula_sum 'Pm8 Nd2 In2'
_cell_length_a 5.655
_cell_length_b 7.038
_cell_length_c 9.830
_cell_angle_alpha 90.00
_cell_angle_beta 90.00
_cell_angle_gamma 90.00
_space_group_name_H-M_alt 'P m m n'
_space_group_IT_number 59
loop_
_space_group_symop_operation_xyz
'x,y,z'
'-x,-y,-z'
'-x+1/2,-y+1/2,z'
'x+1/2,y+1/2,-z'
'x+1/2,-y,-z'
'-x+1/2,y,z'
'-x,y+1/2,-z'
'x,-y+1/2,z'
loop_
_atom_site_label
_atom_site_type_symbol
_atom_site_fract_x
_atom_site_fract_y
_atom_site_fract_z
_atom_site_occupancy
Pm1 Pm 0.250 0.005 0.240 1
Pm2 Pm 0.250 0.250 0.609 1
Pm3 Pm 0.250 0.750 0.920 1
Nd1 Nd 0.250 0.750 0.572 1
In1 In 0.250 0.250 0.929 1
# Energy above the most stable polymorph in this dataset   0.0 meV/atom
# Formation energy   -134 meV per atom
# Raw total energy   -54.62 eV per cell